Record 1
## PuNbBi (PBE)

Data for a geometry-optimized PuNbBi structure.

a b c (Å): 3.5006 6.1720 8.2257
angles (deg): 112.05 90.00 106.47
Each line ends with the local moment (μB).
Element x y z (fractional)
1 Pu 0.9154 0.8307 0.2723  5.34
2 Pu 0.0846 0.1693 0.7277  5.34
3 Nb 0.3478 0.6956 0.5492  -0.05
4 Nb 0.6522 0.3044 0.4508  -0.05
5 Bi 0.8423 0.6847 0.8392  -0.03
6 Bi 0.1577 0.3153 0.1608  -0.03

Properties
DFT total energy, Ry/atom: -0.687
SG: No. 12
Crystal system: monoclinic
DOS at the Fermi energy, states/eV/cell: 15.82
Energy relative to the elements, eV/atom: 0.077

Record 2
## RbNbBi2 (PBE)

Data for a geometry-optimized RbNbBi2 structure.

a b c (Å): 5.4730 5.4730 5.4730
angles (deg): 60.00 60.00 60.00
Each line ends with the local moment (μB).
Element x y z (fractional)
1 Bi 0.7500 0.7500 0.7500  -0.10
2 Bi 0.2500 0.2500 0.2500  -0.10
3 Nb 0.5000 0.5000 0.5000  1.67
4 Rb 0.0000 0.0000 0.0000  0.01

Properties
Excess energy over the best structure of this formula in the dataset, kcal/mol of atoms: 5.16
DFT total energy, Ry/atom: -0.308
SG: No. 225
Crystal system: cubic
DOS at the Fermi energy, states/eV/cell: 3.64
Energy relative to the elements, eV/atom: 0.515

Number 2 is which compound?
RbNbBi2